No. 1
The following is a PBE-GGA calculation of an optimized crystal structure of Ce2Ni4As3Pd, from Alexandria via LeMat-Bulk.

a = 4.0655 Å, b = 4.0655 Å, c = 9.9796 Å
α = 90.00°, β = 90.00°, γ = 90.00°
Site moments in Bohr magnetons follow the coordinates.
Sites, in units of the cell vectors:
As (0.0000, 0.5000, 0.1263)  0.00
Ce (0.0000, 0.5000, 0.7516)  -0.18
Ce (0.5000, 0.0000, 0.2484)  -0.18
As (0.0000, 0.0000, 0.5000)  0.01
Pd (0.5000, 0.5000, 0.5000)  0.01
As (0.5000, 0.0000, 0.8737)  0.00
Ni (0.5000, 0.0000, 0.6439)  0.02
Ni (0.0000, 0.5000, 0.3561)  0.02
Ni (0.5000, 0.5000, 0.0000)  0.01
Ni (0.0000, 0.0000, 0.0000)  0.01

Calculated values
space group = No. 115
formation enthalpy at 0 K = -763 meV per atom
DFT total energy = -6.18 eV per atom

***

No. 2
The following is a PBE-GGA calculation of an optimized crystal structure of Ca2AlZn16, from Alexandria via LeMat-Bulk.

a = 6.8519 Å, b = 6.8519 Å, c = 6.8519 Å
α = 83.08°, β = 83.08°, γ = 83.08°
Sites, in units of the cell vectors:
Zn (0.2988, 0.7013, 0.0000)
Zn (0.8377, 0.3517, 0.3517)
Zn (0.3517, 0.3517, 0.8377)
Ca (0.3387, 0.3387, 0.3387)
Zn (0.9993, 0.5019, 0.9993)
Ca (0.6626, 0.6626, 0.6626)
Zn (0.7013, 0.0000, 0.2988)
Zn (0.9993, 0.9993, 0.5019)
Zn (0.0000, 0.2988, 0.7013)
Zn (0.0000, 0.7013, 0.2988)
Zn (0.3517, 0.8377, 0.3517)
Zn (0.8987, 0.8987, 0.8987)
Zn (0.7013, 0.2988, 0.0000)
Zn (0.6495, 0.1620, 0.6495)
Zn (0.2988, 0.0000, 0.7013)
Zn (0.5019, 0.9993, 0.9993)
Zn (0.1620, 0.6495, 0.6495)
Zn (0.6495, 0.6495, 0.1620)
Al (0.0970, 0.0970, 0.0970)

Calculated values
space group = No. 160
formation enthalpy at 0 K = -177 meV per atom
DFT total energy = -1.66 eV per atom

***

No. 3
The following is a PBE-GGA calculation of an optimized crystal structure of Tl2SiSn, from Alexandria via LeMat-Bulk.

a = 6.5266 Å, b = 6.5266 Å, c = 7.8575 Å
α = 65.46°, β = 65.46°, γ = 90.00°
Sites, in units of the cell vectors:
Sn (0.0000, 0.0000, 0.0000)
Si (0.2500, 0.7500, 0.5000)
Si (0.5000, 0.5000, 0.0000)
Tl (0.1653, 0.6250, 0.2500)
Tl (0.3750, 0.4153, 0.7500)
Sn (0.7500, 0.2500, 0.5000)
Tl (0.5847, 0.1250, 0.2500)
Tl (0.8750, 0.8347, 0.7500)

Calculated values
formation energy (no corrections) = 0.497 eV per atom
space group = No. 122
DFT total energy = -3.04 eV per atom

***

No. 4
The following is a PBE-GGA calculation of an optimized crystal structure of Tb2PuSn, from Alexandria via LeMat-Bulk.

a = 4.6120 Å, b = 4.8811 Å, c = 4.8811 Å
α = 90.00°, β = 90.00°, γ = 90.00°
Site moments in Bohr magnetons follow the coordinates.
Sites, in units of the cell vectors:
Pu (0.5000, 0.5000, 0.5000)  5.60
Tb (0.0000, 0.0000, 0.5000)  0.32
Tb (0.0000, 0.5000, 0.0000)  0.32
Sn (0.5000, 0.0000, 0.0000)  -0.06

Calculated values
space group = No. 123
ΔE to the lowest computed polymorph = 0.000 eV per atom
formation enthalpy at 0 K = -322 meV per atom
DFT total energy = -7.22 eV per atom